Compound: PrTaN2O
Source: the Open Quantum Materials Database
Functional: PBE-GGA
Structure: optimized geometry

```
data_PrTaN2O
_chemical_formula_sum 'Pr6 Ta6 N12 O6'
_cell_length_a 5.7428
_cell_length_b 5.7428
_cell_length_c 14.2555
_cell_angle_alpha 90.00
_cell_angle_beta 90.00
_cell_angle_gamma 120.00
_space_group_name_H-M_alt 'P 63/m m c'
_space_group_IT_number 194
_space_group_name_Hall '-P 6c 2c'
loop_
_atom_site_label
_atom_site_type_symbol
_atom_site_fract_x
_atom_site_fract_y
_atom_site_fract_z
Pr1 Pr 0.0000 0.0000 0.2500
Pr2 Pr 0.3333 0.6667 0.1087
Ta1 Ta 0.0000 0.0000 0.0000
Ta2 Ta 0.3333 0.6667 0.6468
N1 N 0.1612 0.3224 0.5879
O1 O 0.0024 0.5012 0.2500
```

Volume = 407.16 Å³/cell
VASP energy = -9.394 eV/atom